No. 1
# Cr2PtPb, optimized geometry, DFT GGA-PBE
data_Cr2PtPb
_space_group_name_H-M_alt 'P 4/m m m'
_space_group_IT_number 123
_space_group_name_Hall '-P 4 2'
_cell_length_a 3.2162
_cell_length_b 3.2162
_cell_length_c 7.1441
_cell_angle_alpha 90.00
_cell_angle_beta 90.00
_cell_angle_gamma 90.00
loop_
_atom_site_label
_atom_site_type_symbol
_atom_site_fract_x
_atom_site_fract_y
_atom_site_fract_z
_atom_site_occupancy
Cr1 Cr 0.0000 0.0000 0.2065 1
Pt1 Pt 0.5000 0.5000 0.0000 1
Pb1 Pb 0.5000 0.5000 0.5000 1
# DOS at the Fermi energy (states/eV per cell): 4.2
# Formation energy (eV/atom): 0.301



No. 2
# Na2AuF, optimized geometry, DFT GGA-PBE
data_Na2AuF
_space_group_name_H-M_alt 'I -4 2 d'
_space_group_IT_number 122
_space_group_name_Hall 'I -4 2bw'
_cell_length_a 6.6919
_cell_length_b 6.6919
_cell_length_c 7.9004
_cell_angle_alpha 90.00
_cell_angle_beta 90.00
_cell_angle_gamma 90.00
loop_
_atom_site_label
_atom_site_type_symbol
_atom_site_fract_x
_atom_site_fract_y
_atom_site_fract_z
_atom_site_occupancy
Na1 Na 0.1544 0.2500 0.1250 1
Au1 Au 0.0000 0.0000 0.5000 1
F1 F 0.0000 0.0000 0.0000 1
# E_form (uncorrected) (eV per atom): -1.366
# ΔE to the lowest computed polymorph (eV/atom): 0.024
# DOS at the Fermi energy (states/eV per cell): 0.0



No. 3
# CaTbMg6, optimized geometry, DFT GGA-PBE
data_CaTbMg6
_space_group_name_H-M_alt 'A m m 2'
_space_group_IT_number 38
_space_group_name_Hall 'A 2 -2'
_cell_length_a 5.2099
_cell_length_b 7.1183
_cell_length_c 11.2801
_cell_angle_alpha 90.00
_cell_angle_beta 90.00
_cell_angle_gamma 90.00
loop_
_atom_site_label
_atom_site_type_symbol
_atom_site_fract_x
_atom_site_fract_y
_atom_site_fract_z
_atom_site_occupancy
Ca1 Ca 0.0000 0.0000 0.0000 1
Tb1 Tb 0.5000 0.0000 0.7112 1
Mg1 Mg 0.0000 0.0000 0.5263 1
Mg2 Mg 0.0000 0.2263 0.2631 1
Mg3 Mg 0.5000 0.0000 0.1931 1
Mg4 Mg 0.5000 0.2208 0.4479 1
# DOS at the Fermi energy (states/eV per cell): 11.6
# Formation energy (eV/atom): -0.059



- What is the DOS at the Fermi energy in the third record?
  11.6 states/eV per cell